# 1
Density functional theory data (PBE) for crystalline Sm4Te3Ir at its relaxed geometry.

a = 4.2870 Å, b = 7.7197 Å, c = 7.7197 Å
α = 108.31°, β = 90.00°, γ = 90.00°
Atoms (fractional coordinates):
Te1 0.0000 0.0000 0.5000
Te2 0.5000 0.5000 0.5000
Te3 0.0000 0.5000 0.0000
Sm1 0.0000 0.2113 0.2113
Sm2 0.5000 0.7695 0.2305
Sm3 0.0000 0.7887 0.7887
Sm4 0.5000 0.2305 0.7695
Ir1 0.5000 0.0000 0.0000

Properties
**Raw formation energy**: -1.225 eV per atom
**Calculated volume**: 30.32 Å³ per atom
**Magnetization**: 0.00 μB/f.u.
**Density of states at the Fermi level**: 6.50 states/eV/f.u.



# 2
Density functional theory data (PBE) for crystalline Sm5Te2Ir at its relaxed geometry.

a = 4.2186 Å, b = 8.3964 Å, c = 13.3063 Å
α = 90.00°, β = 90.00°, γ = 90.00°
Atoms (fractional coordinates):
Sm1 0.0000 0.0000 0.5000
Sm2 0.0000 0.5000 0.0000
Sm3 0.0000 0.8387 0.1875
Sm4 0.0000 0.1613 0.8125
Sm5 0.0000 0.6613 0.6875
Sm6 0.0000 0.3387 0.3125
Sm7 0.5000 0.6731 0.4173
Sm8 0.5000 0.3269 0.5827
Sm9 0.5000 0.8269 0.9173
Sm10 0.5000 0.1731 0.0827
Te1 0.5000 0.5447 0.1786
Te2 0.5000 0.4553 0.8214
Te3 0.5000 0.9553 0.6786
Te4 0.5000 0.0447 0.3214
Ir1 0.0000 0.5000 0.5000
Ir2 0.0000 0.0000 0.0000

Properties
**Raw formation energy**: -0.921 eV per atom
**Calculated volume**: 29.46 Å³ per atom
**Magnetization**: 0.00 μB/f.u.
**Density of states at the Fermi level**: 7.90 states/eV/f.u.



# 3
Density functional theory data (PBE) for crystalline Sm4Te3Ir at its relaxed geometry.

a = 6.2177 Å, b = 9.3192 Å, c = 10.1151 Å
α = 90.00°, β = 90.00°, γ = 90.00°
Atoms (fractional coordinates):
Sm1 0.0644 0.8652 0.0000
Sm2 0.5645 0.1543 0.0000
Sm3 0.0644 0.3115 0.2171
Sm4 0.5644 0.6885 0.2829
Sm5 0.0645 0.8457 0.5000
Sm6 0.5644 0.1348 0.5000
Sm7 0.5644 0.6885 0.7171
Sm8 0.0644 0.3115 0.7829
Te1 0.5644 0.8206 0.0000
Te2 0.0644 0.6524 0.2438
Te3 0.5644 0.3476 0.2562
Te4 0.0644 0.1794 0.5000
Te5 0.5644 0.3476 0.7438
Te6 0.0644 0.6524 0.7562
Ir1 0.0644 0.1501 0.0000
Ir2 0.5644 0.8499 0.5000

Properties
**Raw formation energy**: -0.968 eV per atom
**Calculated volume**: 36.63 Å³ per atom
**Magnetization**: 0.00 μB/f.u.
**Density of states at the Fermi level**: 9.68 states/eV/f.u.



# 4
Density functional theory data (PBE) for crystalline Sm4TeIr2 at its relaxed geometry.

a = 8.6920 Å, b = 8.6920 Å, c = 8.6796 Å
α = 120.01°, β = 120.01°, γ = 90.04°
Atoms (fractional coordinates):
Sm1 0.8563 0.1438 0.2875
Sm2 0.3937 0.6062 0.2125
Sm3 0.8564 0.5687 0.7125
Sm4 0.8562 0.1437 0.7125
Sm5 0.4313 0.1436 0.2875
Sm6 0.3936 0.1813 0.7875
Sm7 0.3938 0.6063 0.7875
Sm8 0.8187 0.6064 0.2125
Te1 0.2498 0.7502 0.5000
Te2 0.0002 0.9998 0.0000
Ir1 0.6250 0.3750 0.7500
Ir2 0.6250 0.8750 0.2500
Ir3 0.6250 0.3750 0.2500
Ir4 0.1250 0.3750 0.7500

Properties
**Raw formation energy**: -0.781 eV per atom
**Calculated volume**: 33.10 Å³ per atom
**Magnetization**: 0.00 μB/f.u.
**Density of states at the Fermi level**: 0.95 states/eV/f.u.



# 5
Density functional theory data (PBE) for crystalline Sm6Te5Ir at its relaxed geometry.

a = 7.6739 Å, b = 8.8840 Å, c = 7.6991 Å
α = 106.94°, β = 99.66°, γ = 124.96°
Atoms (fractional coordinates):
Te1 0.3203 0.8203 0.6407
Te2 0.6642 0.6642 0.3284
Te3 0.0000 0.5000 0.0000
Te4 0.3358 0.3358 0.6716
Te5 0.6797 0.1797 0.3593
Sm1 0.1471 0.3715 0.2984
Sm2 0.1513 0.9269 0.2984
Sm3 0.4533 0.2192 0.0000
Sm4 0.5467 0.7808 0.0000
Sm5 0.8487 0.0731 0.7016
Sm6 0.8529 0.6285 0.7016
Ir1 0.0000 0.0000 0.0000

Properties
**Raw formation energy**: -1.326 eV per atom
**Calculated volume**: 31.01 Å³ per atom
**Magnetization**: 0.00 μB/f.u.
**Density of states at the Fermi level**: 10.00 states/eV/f.u.



# 6
Density functional theory data (PBE) for crystalline Sm4TeIr2 at its relaxed geometry.

a = 7.8863 Å, b = 7.8863 Å, c = 7.8863 Å
α = 109.09°, β = 110.24°, γ = 109.09°
Atoms (fractional coordinates):
Sm1 0.1558 0.8905 0.3982
Sm2 0.6018 0.7576 0.4923
Sm3 0.0153 0.6095 0.7577
Sm4 0.2423 0.2576 0.8518
Sm5 0.5942 0.7424 0.9847
Sm6 0.7347 0.2424 0.8442
Sm7 0.5077 0.1095 0.2653
Sm8 0.1482 0.3905 0.4058
Te1 0.0000 0.0000 0.0000
Te2 0.7500 0.5000 0.2500
Ir1 0.8750 0.1444 0.5194
Ir2 0.4806 0.3556 0.6250
Ir3 0.3750 0.8556 0.7306
Ir4 0.2694 0.6444 0.1250

Properties
**Raw formation energy**: -0.779 eV per atom
**Calculated volume**: 26.97 Å³ per atom
**Magnetization**: 0.00 μB/f.u.
**Density of states at the Fermi level**: 5.96 states/eV/f.u.